# AcMgCu2, optimized geometry, DFT PBE-GGA
# total moment	0.00	μB/f.u.
# volume	91.29	Å³ per cell
# ΔH_f (0 K)	-0.168	eV/atom
data_AcMgCu2
_cell_length_a 5.7177
_cell_length_b 5.7177
_cell_length_c 5.7177
_cell_angle_alpha 46.97
_cell_angle_beta 46.97
_cell_angle_gamma 46.97
_symmetry_space_group_name_H-M 'P 1'
_symmetry_Int_Tables_number 1
_symmetry_space_group_name_Hall 'P 1'
loop_
_atom_site_label
_atom_site_type_symbol
_atom_site_fract_x
_atom_site_fract_y
_atom_site_fract_z
_atom_site_occupancy
Ac1 Ac 0.0000 0.0000 0.0000 1
Mg1 Mg 0.5000 0.5000 0.5000 1
Cu1 Cu 0.1999 0.1999 0.1999 1
Cu2 Cu 0.8001 0.8001 0.8001 1